GGA-PBE NbIn2OsAu, relaxed; ΔE_f = 1.8471 eV per atom
1.0
-3.141 -2.052 -3.813
0.470 -4.518 2.045
-4.301 0.930 3.042
In Nb Os Au
2 1 1 1
Direct
0.000 0.000 0.500
0.500 0.000 0.000
0.000 0.000 0.000
0.500 0.500 0.500
0.000 0.500 0.000